[1]
Below is a geometry-optimized La8PmAl2 structure, with properties calculated at the PBE-GGA level.

a b c (Å): 5.3121 8.4919 9.1813
angles (deg): 111.47 106.82 90.00
Fractional positions:
La 0.6158 0.4730 0.2316
La 0.3137 0.0523 0.6275
La 0.1522 0.2225 0.3044
La 0.0508 0.7324 0.1015
La 0.8478 0.7775 0.6956
La 0.6862 0.9477 0.3725
La 0.3842 0.5270 0.7684
La 0.9492 0.2676 0.8985
Pm 0.5000 0.0000 0.0000
Al 0.2211 0.6499 0.4423
Al 0.7789 0.3501 0.5577

calculated total energy	-52.679	eV for the cell shown
symmetry	C2/m, No. 12
crystal system	monoclinic
energy of formation from the pure elements	-93	meV per atom


[2]
Below is a geometry-optimized LaPmAl2 structure, with properties calculated at the PBE-GGA level.

a b c (Å): 4.7395 6.9289 7.1859
angles (deg): 90.00 90.00 110.00
Fractional positions:
La 0.9376 0.8751 0.2500
La 0.0624 0.1249 0.7500
Pm 0.2225 0.4449 0.2500
Pm 0.7775 0.5551 0.7500
Al 0.4029 0.8059 0.9332
Al 0.5971 0.1941 0.0668
Al 0.5971 0.1941 0.4332
Al 0.4029 0.8059 0.5668

calculated total energy	-37.324	eV for the cell shown
symmetry	Cmcm, No. 63
crystal system	orthorhombic
energy of formation from the pure elements	-375	meV per atom


[3]
Below is a geometry-optimized La2PmAl structure, with properties calculated at the PBE-GGA level.

a b c (Å): 3.7517 3.7517 9.0256
angles (deg): 90.00 90.00 90.00
Fractional positions:
La 0.0000 0.0000 0.7900
La 0.0000 0.0000 0.2100
Al 0.5000 0.5000 0.0000
Pm 0.5000 0.5000 0.5000

calculated total energy	-18.929	eV for the cell shown
symmetry	P4/mmm, No. 123
crystal system	tetragonal
energy of formation from the pure elements	-145	meV per atom
ΔE to the lowest computed polymorph	46.8	meV/atom


[4]
Below is a geometry-optimized La3Pm2Al3 structure, with properties calculated at the PBE-GGA level.

a b c (Å): 3.4024 8.7499 8.7499
angles (deg): 120.00 90.00 90.00
Fractional positions:
La 0.0000 0.7474 0.7474
La 0.0000 0.2526 0.0000
La 0.0000 0.0000 0.2526
Pm 0.0000 0.3333 0.6667
Pm 0.0000 0.6667 0.3333
Al 0.5000 0.3852 0.3852
Al 0.5000 0.6148 0.0000
Al 0.5000 0.0000 0.6148

calculated total energy	-37.425	eV for the cell shown
symmetry	P-62m, No. 189
crystal system	hexagonal
energy of formation from the pure elements	-239	meV per atom


[5]
Below is a geometry-optimized LaPmAl structure, with properties calculated at the PBE-GGA level.

a b c (Å): 3.7435 5.1480 5.1480
angles (deg): 120.00 90.00 90.00
Fractional positions:
La 0.9846 0.0000 0.0000
Al 0.6436 0.6667 0.3333
Pm 0.3718 0.3333 0.6667

calculated total energy	-13.894	eV for the cell shown
symmetry	P3m1, No. 156
crystal system	trigonal
energy of formation from the pure elements	-158	meV per atom
ΔE to the lowest computed polymorph	44.5	meV/atom


[6]
Below is a geometry-optimized La3Pm12Al structure, with properties calculated at the PBE-GGA level.

a b c (Å): 5.0817 5.0817 20.7352
angles (deg): 90.00 90.00 90.00
Fractional positions:
La 0.0000 0.0000 0.2452
La 0.0000 0.0000 0.5000
La 0.0000 0.0000 0.7548
Pm 0.5000 0.5000 0.0000
Pm 0.5000 0.5000 0.2414
Pm 0.5000 0.5000 0.5000
Pm 0.5000 0.5000 0.7586
Pm 0.5000 0.0000 0.1146
Pm 0.5000 0.0000 0.3718
Pm 0.5000 0.0000 0.6282
Pm 0.5000 0.0000 0.8854
Pm 0.0000 0.5000 0.1146
Pm 0.0000 0.5000 0.3718
Pm 0.0000 0.5000 0.6282
Pm 0.0000 0.5000 0.8854
Al 0.0000 0.0000 0.0000

calculated total energy	-75.690	eV for the cell shown
symmetry	P4/mmm, No. 123
crystal system	tetragonal
energy of formation from the pure elements	-10	meV per atom


[7]
Below is a geometry-optimized LaPm3Al2 structure, with properties calculated at the PBE-GGA level.

a b c (Å): 5.2595 6.7170 9.8756
angles (deg): 90.00 90.00 90.00
Fractional positions:
La 0.5000 0.5290 0.5458
La 0.5000 0.0290 0.4542
Pm 0.0000 0.4746 0.9529
Pm 0.0000 0.9746 0.0471
Pm 0.5000 0.6885 0.1712
Pm 0.5000 0.1885 0.8288
Pm 0.0000 0.3102 0.3238
Pm 0.0000 0.8102 0.6762
Al 0.5000 0.7098 0.8543
Al 0.5000 0.2098 0.1457
Al 0.0000 0.2879 0.6499
Al 0.0000 0.7879 0.3501

calculated total energy	-56.296	eV for the cell shown
symmetry	Pmc2_1, No. 26
crystal system	orthorhombic
energy of formation from the pure elements	-247	meV per atom


[8]
Below is a geometry-optimized LaPmPrAl structure, with properties calculated at the PBE-GGA level.

a b c (Å): 4.8520 4.8520 6.1114
angles (deg): 113.39 113.39 90.00
Fractional positions:
La 0.7500 0.2500 0.5000
Pm 0.0000 0.0000 0.0000
Pr 0.5000 0.5000 0.0000
Al 0.2500 0.7500 0.5000

calculated total energy	-18.762	eV for the cell shown
symmetry	I-4m2, No. 119
crystal system	tetragonal
energy of formation from the pure elements	-140	meV per atom
ΔE to the lowest computed polymorph	0.0	meV/atom


[9]
Below is a geometry-optimized LaPmPrAl structure, with properties calculated at the PBE-GGA level.

a b c (Å): 5.5572 5.5572 5.5572
angles (deg): 60.00 60.00 60.00
Fractional positions:
Pr 0.0000 0.0000 0.0000
La 0.5000 0.5000 0.5000
Al 0.7500 0.7500 0.7500
Pm 0.2500 0.2500 0.2500

calculated total energy	-18.352	eV for the cell shown
symmetry	F-43m, No. 216
crystal system	cubic
energy of formation from the pure elements	-38	meV per atom
ΔE to the lowest computed polymorph	102.6	meV/atom


[10]
Below is a geometry-optimized LaPmAlPt structure, with properties calculated at the PBE-GGA level.

a b c (Å): 5.2341 5.2341 5.2341
angles (deg): 60.00 60.00 60.00
Fractional positions:
La 0.5000 0.5000 0.5000
Al 0.2500 0.2500 0.2500
Pt 0.7500 0.7500 0.7500
Pm 0.0000 0.0000 0.0000

calculated total energy	-21.880	eV for the cell shown
symmetry	F-43m, No. 216
crystal system	cubic
energy of formation from the pure elements	-605	meV per atom


[11]
Below is a geometry-optimized LaPmScAl structure, with properties calculated at the PBE-GGA level.

a b c (Å): 5.3894 5.3894 5.3894
angles (deg): 60.00 60.00 60.00
Fractional positions:
Sc 0.0000 0.0000 0.0000
La 0.7500 0.7500 0.7500
Al 0.5000 0.5000 0.5000
Pm 0.2500 0.2500 0.2500

calculated total energy	-20.136	eV for the cell shown
symmetry	F-43m, No. 216
crystal system	cubic
energy of formation from the pure elements	-96	meV per atom


[12]
Below is a geometry-optimized LaPmAlSi structure, with properties calculated at the PBE-GGA level.

a b c (Å): 4.4971 4.0947 6.1446
angles (deg): 90.00 111.47 90.00
Fractional positions:
La 0.1459 0.0000 0.2918
Pm 0.8606 0.5000 0.7212
Al 0.5643 0.5000 0.1286
Si 0.4292 0.0000 0.8585

calculated total energy	-21.244	eV for the cell shown
formation energy without anion corrections	-57.91	kJ per mole of atoms
symmetry	Amm2, No. 38
crystal system	orthorhombic
ΔE to the lowest computed polymorph	0.0	meV/atom


[13]
Below is a geometry-optimized LaPmAlSi structure, with properties calculated at the PBE-GGA level.

a b c (Å): 5.2422 5.2422 5.2422
angles (deg): 60.00 60.00 60.00
Fractional positions:
Si 0.7500 0.7500 0.7500
La 0.0000 0.0000 0.0000
Al 0.2500 0.2500 0.2500
Pm 0.5000 0.5000 0.5000

calculated total energy	-20.289	eV for the cell shown
formation energy without anion corrections	-34.86	kJ per mole of atoms
symmetry	F-43m, No. 216
crystal system	cubic
ΔE to the lowest computed polymorph	238.9	meV/atom


[14]
Below is a geometry-optimized LaPmAl2Si structure, with properties calculated at the PBE-GGA level.

a b c (Å): 4.4271 4.5273 6.9605
angles (deg): 108.98 108.54 90.00
Fractional positions:
La 0.4383 0.4383 0.8766
Pm 0.1985 0.6985 0.3970
Al 0.6845 0.1845 0.3691
Al 0.0444 0.0444 0.0888
Si 0.8464 0.8464 0.6929

calculated total energy	-24.719	eV for the cell shown
formation energy without anion corrections	-41.16	kJ per mole of atoms
symmetry	Imm2, No. 44
crystal system	orthorhombic


[15]
Below is a geometry-optimized La2Pm3Sm6Al structure, with properties calculated at the PBE-GGA level.

a b c (Å): 6.2063 6.2063 11.9099
angles (deg): 95.04 95.04 120.06
Fractional positions:
La 0.3339 0.6661 0.0000
La 0.6661 0.3339 0.0000
Pm 0.1683 0.8317 0.5000
Pm 0.8317 0.1683 0.5000
Pm 0.5000 0.5000 0.5000
Sm 0.9190 0.5973 0.7545
Sm 0.7595 0.7595 0.2470
Sm 0.0810 0.4027 0.2455
Sm 0.5973 0.9190 0.7545
Sm 0.2405 0.2405 0.7530
Sm 0.4027 0.0810 0.2455
Al 0.0000 0.0000 0.0000

calculated total energy	-56.400	eV for the cell shown
symmetry	C2/m, No. 12
crystal system	monoclinic
energy of formation from the pure elements	-20	meV per atom


[16]
Below is a geometry-optimized LaPmAlSn structure, with properties calculated at the PBE-GGA level.

a b c (Å): 5.4337 5.4337 5.4337
angles (deg): 60.00 60.00 60.00
Fractional positions:
Al 0.5000 0.5000 0.5000
La 0.2500 0.2500 0.2500
Sn 0.0000 0.0000 0.0000
Pm 0.7500 0.7500 0.7500

calculated total energy	-19.321	eV for the cell shown
symmetry	F-43m, No. 216
crystal system	cubic
energy of formation from the pure elements	-474	meV per atom


[17]
Below is a geometry-optimized LaPmThAl structure, with properties calculated at the PBE-GGA level.

a b c (Å): 5.5169 5.5169 5.5169
angles (deg): 60.00 60.00 60.00
Fractional positions:
La 0.5000 0.5000 0.5000
Al 0.2500 0.2500 0.2500
Th 0.0000 0.0000 0.0000
Pm 0.7500 0.7500 0.7500

calculated total energy	-20.769	eV for the cell shown
symmetry	F-43m, No. 216
crystal system	cubic
energy of formation from the pure elements	18	meV per atom


[18]
Below is a geometry-optimized LaPmAlTl structure, with properties calculated at the PBE-GGA level.

a b c (Å): 3.7986 3.7986 7.8811
angles (deg): 90.00 90.00 90.00
Fractional positions:
La 0.5000 0.5000 0.1218
Pm 0.5000 0.5000 0.5940
Al 0.0000 0.0000 0.3667
Tl 0.0000 0.0000 0.8455

calculated total energy	-17.317	eV for the cell shown
symmetry	P4mm, No. 99
crystal system	tetragonal
energy of formation from the pure elements	-382	meV per atom
ΔE to the lowest computed polymorph	0.0	meV/atom


[19]
Below is a geometry-optimized LaPmAlTl structure, with properties calculated at the PBE-GGA level.

a b c (Å): 5.4509 5.4509 5.4509
angles (deg): 60.00 60.00 60.00
Fractional positions:
Tl 0.0000 0.0000 0.0000
La 0.7500 0.7500 0.7500
Al 0.5000 0.5000 0.5000
Pm 0.2500 0.2500 0.2500

calculated total energy	-17.211	eV for the cell shown
symmetry	F-43m, No. 216
crystal system	cubic
energy of formation from the pure elements	-356	meV per atom
ΔE to the lowest computed polymorph	26.5	meV/atom


[20]
Below is a geometry-optimized LaPmTmAl structure, with properties calculated at the PBE-GGA level.

a b c (Å): 5.4643 5.4643 5.4643
angles (deg): 60.00 60.00 60.00
Fractional positions:
Tm 0.7500 0.7500 0.7500
La 0.5000 0.5000 0.5000
Al 0.2500 0.2500 0.2500
Pm 0.0000 0.0000 0.0000

calculated total energy	-18.207	eV for the cell shown
symmetry	F-43m, No. 216
crystal system	cubic
energy of formation from the pure elements	-79	meV per atom
ΔE to the lowest computed polymorph	96.0	meV/atom


[21]
Below is a geometry-optimized LaPmTmAl structure, with properties calculated at the PBE-GGA level.

a b c (Å): 3.5514 3.5514 9.3095
angles (deg): 90.00 90.00 90.00
Fractional positions:
La 0.0000 0.0000 0.0820
Pm 0.5000 0.5000 0.7767
Tm 0.5000 0.5000 0.3646
Al 0.0000 0.0000 0.5614

calculated total energy	-18.591	eV for the cell shown
symmetry	P4mm, No. 99
crystal system	tetragonal
energy of formation from the pure elements	-175	meV per atom
ΔE to the lowest computed polymorph	0.0	meV/atom


[22]
Below is a geometry-optimized LaPmAl2Zn2 structure, with properties calculated at the PBE-GGA level.

a b c (Å): 4.5742 4.5742 7.6790
angles (deg): 90.00 90.00 120.00
Fractional positions:
La 0.0000 0.0000 0.0000
Pm 0.0000 0.0000 0.5000
Al 0.3333 0.6667 0.7294
Al 0.6667 0.3333 0.2706
Zn 0.3333 0.6667 0.2782
Zn 0.6667 0.3333 0.7218

calculated total energy	-22.275	eV for the cell shown
symmetry	P-3m1, No. 164
crystal system	trigonal
energy of formation from the pure elements	-427	meV per atom


[23]
Below is a geometry-optimized LaPmAlZn structure, with properties calculated at the PBE-GGA level.

a b c (Å): 5.2935 5.2935 5.2935
angles (deg): 60.00 60.00 60.00
Fractional positions:
Zn 0.0000 0.0000 0.0000
La 0.2500 0.2500 0.2500
Al 0.5000 0.5000 0.5000
Pm 0.7500 0.7500 0.7500

calculated total energy	-16.022	eV for the cell shown
symmetry	F-43m, No. 216
crystal system	cubic
energy of formation from the pure elements	-332	meV per atom
ΔE to the lowest computed polymorph	5.7	meV/atom


[24]
Below is a geometry-optimized LaPmAlZn structure, with properties calculated at the PBE-GGA level.

a b c (Å): 3.6921 3.6921 7.6178
angles (deg): 90.00 90.00 90.00
Fractional positions:
La 0.0000 0.0000 0.8565
Pm 0.0000 0.0000 0.3622
Al 0.5000 0.5000 0.1182
Zn 0.5000 0.5000 0.5912

calculated total energy	-16.045	eV for the cell shown
symmetry	P4mm, No. 99
crystal system	tetragonal
energy of formation from the pure elements	-337	meV per atom
ΔE to the lowest computed polymorph	0.0	meV/atom


[25]
Below is a geometry-optimized La2PmAl2Zn2 structure, with properties calculated at the PBE-GGA level.

a b c (Å): 4.5223 4.5223 9.7683
angles (deg): 76.62 76.62 60.00
Fractional positions:
La 0.1361 0.1361 0.5916
La 0.8639 0.8639 0.4084
Pm 0.0000 0.0000 0.0000
Al 0.7354 0.7354 0.7938
Al 0.2646 0.2646 0.2062
Zn 0.5997 0.5997 0.2008
Zn 0.4003 0.4003 0.7992

calculated total energy	-27.018	eV for the cell shown
symmetry	R-3m, No. 166
crystal system	trigonal
energy of formation from the pure elements	-340	meV per atom


[26]
Below is a geometry-optimized La3Pr2Al structure, with properties calculated at the PBE-GGA level.

a b c (Å): 4.9572 4.9994 8.2917
angles (deg): 107.55 90.00 90.00
Fractional positions:
La 0.5000 0.1539 0.3078
La 0.5000 0.5000 0.0000
La 0.5000 0.8461 0.6922
Pr 0.0000 0.6636 0.3272
Pr 0.0000 0.3364 0.6728
Al 0.0000 0.0000 0.0000

calculated total energy	-28.584	eV for the cell shown
symmetry	Cmmm, No. 65
crystal system	orthorhombic
energy of formation from the pure elements	-83	meV per atom


[27]
Below is a geometry-optimized La2Pr4Al structure, with properties calculated at the PBE-GGA level.

a b c (Å): 3.7331 3.7331 20.2514
angles (deg): 84.71 84.71 60.00
Fractional positions:
La 0.8073 0.8073 0.5780
La 0.1927 0.1927 0.4220
Pr 0.7048 0.7048 0.8854
Pr 0.9098 0.9098 0.2705
Pr 0.2952 0.2952 0.1146
Pr 0.0902 0.0902 0.7295
Al 0.0000 0.0000 0.0000

calculated total energy	-32.737	eV for the cell shown
symmetry	R-3m, No. 166
crystal system	trigonal
energy of formation from the pure elements	-3	meV per atom
ΔE to the lowest computed polymorph	0.0	meV/atom